Record 1
Material: NaLaNd
Method: DFT, PBE-GGA
State: relaxed

Properties
energy of formation: 0.101 eV per atom
polymorph energy (0 for the lowest one): 26 meV per atom
VASP energy: -3.57 eV/atom

a b c (Å): 3.6728 3.6728 9.4300
angles (deg): 90.00 90.00 120.00
Space group P3m1 (No. 156)
Asymmetric unit:
Na 0.0000 0.0000 0.0000 [1 per cell]
La 0.3333 0.6667 0.6495 [1 per cell]
Nd 0.6667 0.3333 0.3414 [1 per cell]

Record 2
Material: NaLa2Nd
Method: DFT, PBE-GGA
State: relaxed

Properties
energy of formation: 0.165 eV per atom
polymorph energy (0 for the lowest one): 82 meV per atom
VASP energy: -3.82 eV/atom

a b c (Å): 6.1520 6.1520 3.7889
angles (deg): 90.00 90.00 90.00
Space group P4/mmm (No. 123)
Asymmetric unit:
Na 0.0000 0.0000 0.0000 [1 per cell]
La 0.0000 0.5000 0.5000 [2 per cell]
Nd 0.5000 0.5000 0.0000 [1 per cell]

Record 3
Material: NaLa2Nd
Method: DFT, PBE-GGA
State: relaxed

Properties
energy of formation: 0.083 eV per atom
polymorph energy (0 for the lowest one): 0 meV per atom
VASP energy: -3.90 eV/atom

a b c (Å): 3.6372 3.6372 11.1276
angles (deg): 90.00 90.00 90.00
Space group P4/mmm (No. 123)
Asymmetric unit:
Na 0.0000 0.0000 0.0000 [1 per cell]
La 0.5000 0.5000 0.2681 [2 per cell]
Nd 0.0000 0.0000 0.5000 [1 per cell]

Record 4
Material: NaLa2Nd
Method: DFT, PBE-GGA
State: relaxed

Properties
energy of formation: 0.125 eV per atom
polymorph energy (0 for the lowest one): 41 meV per atom
VASP energy: -3.86 eV/atom

a b c (Å): 3.6413 3.6413 39.5665
angles (deg): 90.00 90.00 120.00
Space group R-3m (No. 166, hexagonal axes)
Asymmetric unit:
Na 0.0000 0.0000 0.0000 [3 per cell]
La 0.0000 0.0000 0.0915 [6 per cell]
Nd 0.0000 0.0000 0.5000 [3 per cell]

Record 5
Material: NaLaNd
Method: DFT, PBE-GGA
State: relaxed

Properties
energy of formation: 0.119 eV per atom
polymorph energy (0 for the lowest one): 44 meV per atom
VASP energy: -3.55 eV/atom

a b c (Å): 3.6071 3.6071 16.8959
angles (deg): 90.00 90.00 90.00
Space group I4mm (No. 107)
Asymmetric unit:
Na 0.0000 0.0000 0.0000 [2 per cell]
La 0.0000 0.0000 0.3244 [2 per cell]
Nd 0.0000 0.0000 0.6704 [2 per cell]

Record 6
Material: NaLaNd2
Method: DFT, PBE-GGA
State: relaxed

Properties
energy of formation: 0.086 eV per atom
polymorph energy (0 for the lowest one): 0 meV per atom
VASP energy: -3.86 eV/atom

a b c (Å): 3.6578 3.6578 37.2149
angles (deg): 90.00 90.00 120.00
Space group R-3m (No. 166, hexagonal axes)
Asymmetric unit:
Na 0.0000 0.0000 0.0000 [3 per cell]
La 0.0000 0.0000 0.5000 [3 per cell]
Nd 0.0000 0.0000 0.2467 [6 per cell]

Record 7
Material: NaLaNd
Method: DFT, PBE-GGA
State: relaxed

Properties
energy of formation: 0.074 eV per atom
polymorph energy (0 for the lowest one): 0 meV per atom
VASP energy: -3.60 eV/atom

a b c (Å): 3.6316 3.6316 16.7293
angles (deg): 90.00 90.00 90.00
Space group P4/nmm (No. 129, origin choice 2)
Asymmetric unit:
Na 0.2500 0.2500 0.0873 [2 per cell]
La 0.2500 0.2500 0.4160 [2 per cell]
Nd 0.2500 0.2500 0.7410 [2 per cell]

Record 8
Material: NaLaNd2
Method: DFT, PBE-GGA
State: relaxed

Properties
energy of formation: 0.118 eV per atom
polymorph energy (0 for the lowest one): 31 meV per atom
VASP energy: -3.83 eV/atom

a b c (Å): 3.6545 3.6545 37.4923
angles (deg): 90.00 90.00 120.00
Space group R3m (No. 160, hexagonal axes)
Asymmetric unit:
Na 0.0000 0.0000 0.0000 [3 per cell]
La 0.0000 0.0000 0.8333 [3 per cell]
Nd 0.0000 0.0000 0.4185 [3 per cell]
Nd 0.0000 0.0000 0.5815 [3 per cell]

Record 9
Material: NaLaNd
Method: DFT, PBE-GGA
State: relaxed

Properties
energy of formation: 0.132 eV per atom
polymorph energy (0 for the lowest one): 57 meV per atom
VASP energy: -3.54 eV/atom

a b c (Å): 21.4030 3.5687 5.8473
angles (deg): 90.00 90.01 90.00
Space group C2/m (No. 12)
Asymmetric unit:
Na 0.2073 0.0000 0.2491 [4 per cell]
La 0.0349 0.0000 0.2504 [4 per cell]
Nd 0.1151 0.5000 0.7497 [4 per cell]

Record 10
Material: NaLaNd2
Method: DFT, PBE-GGA
State: relaxed

Properties
energy of formation: 0.106 eV per atom
polymorph energy (0 for the lowest one): 20 meV per atom
VASP energy: -3.84 eV/atom

a b c (Å): 3.6448 3.6448 10.8633
angles (deg): 90.00 90.00 90.00
Space group P4/mmm (No. 123)
Asymmetric unit:
Na 0.0000 0.0000 0.0000 [1 per cell]
La 0.0000 0.0000 0.5000 [1 per cell]
Nd 0.5000 0.5000 0.2649 [2 per cell]

Record 11
Material: NaLaNd2
Method: DFT, PBE-GGA
State: relaxed

Properties
energy of formation: 0.199 eV per atom
polymorph energy (0 for the lowest one): 113 meV per atom
VASP energy: -3.75 eV/atom

a b c (Å): 6.1077 6.1077 3.7486
angles (deg): 90.00 90.00 90.00
Space group P4/mmm (No. 123)
Asymmetric unit:
Na 0.0000 0.0000 0.0000 [1 per cell]
La 0.5000 0.5000 0.0000 [1 per cell]
Nd 0.0000 0.5000 0.5000 [2 per cell]

Record 12
Material: Na2LaNdO4
Method: DFT, PBE-GGA
State: relaxed

Properties
VASP energy: -6.65 eV/atom
raw formation energy: -2628 meV per atom

a b c (Å): 6.0128 3.6317 6.2939
angles (deg): 90.00 110.46 90.00
Space group P2/m (No. 10)
Asymmetric unit:
Na 0.0000 0.0000 0.0000 [1 per cell]
Na 0.0000 0.5000 0.5000 [1 per cell]
La 0.5000 0.0000 0.5000 [1 per cell]
Nd 0.5000 0.5000 0.0000 [1 per cell]
O 0.2834 0.0000 0.7641 [2 per cell]
O 0.2836 0.5000 0.2577 [2 per cell]

Record 13
Material: NaLaNdPb
Method: DFT, PBE-GGA
State: relaxed

Properties
energy of formation: -0.250 eV per atom
VASP energy: -3.93 eV/atom

a b c (Å): 7.9354 7.9354 7.9354
angles (deg): 90.00 90.00 90.00
Space group F-43m (No. 216)
Asymmetric unit:
Na 0.0000 0.0000 0.0000 [4 per cell]
La 0.2500 0.2500 0.7500 [4 per cell]
Nd 0.2500 0.2500 0.2500 [4 per cell]
Pb 0.0000 0.0000 0.5000 [4 per cell]

Record 14
Material: NaLa4Nd3S8
Method: DFT, PBE-GGA
State: relaxed

Properties
VASP energy: -6.30 eV/atom
raw formation energy: -2030 meV per atom

a b c (Å): 8.2489 8.2489 20.0657
angles (deg): 90.00 90.00 120.00
Space group R-3m (No. 166, hexagonal axes)
Asymmetric unit:
Na 0.0000 0.0000 0.0000 [3 per cell]
La 0.0000 0.0000 0.5000 [3 per cell]
La 0.0000 0.5000 0.5000 [9 per cell]
Nd 0.0000 0.5000 0.0000 [9 per cell]
S 0.0000 0.0000 0.2515 [6 per cell]
S 0.0011 0.5006 0.7481 [18 per cell]

Record 15
Material: Na4LaNd3S8
Method: DFT, PBE-GGA
State: relaxed

Properties
VASP energy: -5.40 eV/atom
raw formation energy: -1810 meV per atom

a b c (Å): 8.3165 8.3165 20.0610
angles (deg): 90.00 90.00 120.00
Space group R-3m (No. 166, hexagonal axes)
Asymmetric unit:
Na 0.0000 0.0000 0.0000 [3 per cell]
Na 0.0000 0.5000 0.0000 [9 per cell]
La 0.0000 0.0000 0.5000 [3 per cell]
Nd 0.0000 0.5000 0.5000 [9 per cell]
S 0.0000 0.0000 0.2444 [6 per cell]
S 0.0032 0.5016 0.7555 [18 per cell]

Record 16
Material: Na2LaNd3Se6
Method: DFT, PBE-GGA
State: relaxed

Properties
VASP energy: -5.33 eV/atom
raw formation energy: -1763 meV per atom

a b c (Å): 7.3342 12.6962 7.4617
angles (deg): 90.00 109.08 90.00
Space group C2/m (No. 12)
Asymmetric unit:
Na 0.0000 0.1662 0.0000 [4 per cell]
La 0.0000 0.5000 0.0000 [2 per cell]
Nd 0.0000 0.0000 0.5000 [2 per cell]
Nd 0.0000 0.3319 0.5000 [4 per cell]
Se 0.2482 0.5000 0.7453 [4 per cell]
Se 0.2490 0.1668 0.7475 [8 per cell]

Record 17
Material: NaLa3Nd3Se8
Method: DFT, PBE-GGA
State: relaxed

Properties
VASP energy: -5.75 eV/atom
raw formation energy: -1869 meV per atom

a b c (Å): 8.4941 8.4941 20.8736
angles (deg): 90.00 90.00 120.00
Space group R-3m (No. 166, hexagonal axes)
Asymmetric unit:
Na 0.0000 0.0000 0.0000 [3 per cell]
La 0.0000 0.5000 0.5000 [9 per cell]
Nd 0.0000 0.5000 0.0000 [9 per cell]
Se 0.0000 0.0000 0.2518 [6 per cell]
Se 0.0026 0.5013 0.2509 [18 per cell]

Record 18
Material: NaLaNdSe3
Method: DFT, PBE-GGA
State: relaxed

Properties
VASP energy: -5.18 eV/atom
raw formation energy: -1598 meV per atom

a b c (Å): 8.6930 4.2111 9.3533
angles (deg): 90.00 104.36 90.00
Space group P2_1/m (No. 11)
Asymmetric unit:
Na 0.0966 0.2500 0.0851 [2 per cell]
La 0.1961 0.2500 0.7221 [2 per cell]
Nd 0.3366 0.7500 0.3457 [2 per cell]
Se 0.0917 0.2500 0.3773 [2 per cell]
Se 0.2450 0.7500 0.9858 [2 per cell]
Se 0.4311 0.7500 0.6731 [2 per cell]

Record 19
Material: NaLaNd2Se4
Method: DFT, PBE-GGA
State: relaxed

Properties
VASP energy: -5.52 eV/atom
raw formation energy: -1809 meV per atom

a b c (Å): 7.3353 4.2438 7.4475
angles (deg): 90.00 109.18 90.00
Space group P2/m (No. 10)
Asymmetric unit:
Na 0.0000 0.0000 0.0000 [1 per cell]
La 0.5000 0.5000 0.0000 [1 per cell]
Nd 0.0000 0.5000 0.5000 [1 per cell]
Nd 0.5000 0.0000 0.5000 [1 per cell]
Se 0.2460 0.0000 0.7481 [2 per cell]
Se 0.2506 0.5000 0.2534 [2 per cell]

Record 20
Material: NaLa3Nd4Se8
Method: DFT, PBE-GGA
State: relaxed

Properties
VASP energy: -5.81 eV/atom
raw formation energy: -1865 meV per atom

a b c (Å): 14.7522 8.5162 8.5500
angles (deg): 90.00 125.12 90.00
Space group C2/m (No. 12)
Asymmetric unit:
Na 0.0000 0.0000 0.0000 [2 per cell]
La 0.0000 0.5000 0.0000 [2 per cell]
La 0.2500 0.2500 0.0000 [4 per cell]
Nd 0.0000 0.0000 0.5000 [2 per cell]
Nd 0.0000 0.5000 0.5000 [2 per cell]
Nd 0.2500 0.2500 0.5000 [4 per cell]
Se 0.0017 0.2470 0.2514 [8 per cell]
Se 0.2483 0.0000 0.7458 [4 per cell]
Se 0.2493 0.0000 0.2523 [4 per cell]